Record 1
Computed, not measured: PrY2SnC after structural relaxation at the PBE level of DFT.

a b c (Å): 4.9184 4.9184 5.1471
angles (deg): 90.00 90.00 90.00
Element x y z (fractional)
Pr1 0.0000 0.0000 0.0000
Y1 0.0000 0.5000 0.5000
Y2 0.5000 0.0000 0.5000
Sn1 0.5000 0.5000 0.0000
C1 0.0000 0.0000 0.5000

Output
- total magnetization (Bohr magnetons per cell) = 0.000
- crystal system = tetragonal
- total DFT energy (no corrections) (eV/atom) = -6.76
- space group = P4/mmm
- E_form (eV per atom) = -0.570

Record 2
Computed, not measured: TiSi2N2 after structural relaxation at the PBE level of DFT.

a b c (Å): 7.0840 7.0840 7.0840
angles (deg): 153.89 153.89 37.27
Element x y z (fractional)
Ti1 0.0000 0.0000 0.0000
Si1 0.2500 0.7500 0.5000
Si2 0.7500 0.2500 0.5000
N1 0.4503 0.4503 0.0000
N2 0.5497 0.5497 0.0000

Output
- total magnetization (Bohr magnetons per cell) = 0.103
- crystal system = tetragonal
- distance to the lowest polymorph of the same formula (kcal/mol of atoms) = 20.93
- total DFT energy (no corrections) (eV/atom) = -6.63
- space group = I4/mmm
- formation energy without anion corrections (eV per atom) = 0.453

Record 3
Computed, not measured: UTaNbRh after structural relaxation at the PBE level of DFT.

a b c (Å): 4.6605 4.6605 4.6605
angles (deg): 60.00 60.00 60.00
Element x y z (fractional)
U1 0.0000 0.0000 0.0000
Ta1 0.7500 0.7500 0.7500
Nb1 0.2500 0.2500 0.2500
Rh1 0.5000 0.5000 0.5000

Output
- total magnetization (Bohr magnetons per cell) = 1.985
- crystal system = cubic
- total DFT energy (no corrections) (eV/atom) = -10.01
- space group = F-43m
- E_form (eV per atom) = 0.129

Record 4
Computed, not measured: CsPrCo2Cl8 after structural relaxation at the PBE level of DFT.

a b c (Å): 10.7964 10.7964 10.7964
angles (deg): 35.63 35.63 35.63
Element x y z (fractional)
Cs1 0.0000 0.0000 0.0000
Pr1 0.5000 0.5000 0.5000
Co1 0.2462 0.2462 0.2462
Co2 0.7538 0.7538 0.7538
Cl1 0.1024 0.4506 0.7840
Cl2 0.2160 0.8976 0.5494
Cl3 0.3184 0.3184 0.3184
Cl4 0.4506 0.7840 0.1024
Cl5 0.5494 0.2160 0.8976
Cl6 0.6816 0.6816 0.6816
Cl7 0.7840 0.1024 0.4506
Cl8 0.8976 0.5494 0.2160

Output
- total magnetization (Bohr magnetons per cell) = 6.000
- crystal system = trigonal
- total DFT energy (no corrections) (eV/atom) = -4.25
- space group = R-3
- formation energy without anion corrections (eV per atom) = -1.364

Record 5
Computed, not measured: Mg3GaGe after structural relaxation at the PBE level of DFT.

a b c (Å): 7.6967 7.6967 8.7059
angles (deg): 90.00 90.00 155.00
Element x y z (fractional)
Mg1 0.1041 0.8959 0.7500
Mg2 0.3458 0.6542 0.5495
Mg3 0.3458 0.6542 0.9505
Mg4 0.6542 0.3458 0.0495
Mg5 0.6542 0.3458 0.4505
Mg6 0.8959 0.1041 0.2500
Ga1 0.0000 0.0000 0.0000
Ga2 0.0000 0.0000 0.5000
Ge1 0.2484 0.7516 0.2500
Ge2 0.7516 0.2484 0.7500

Output
- total magnetization (Bohr magnetons per cell) = 0.000
- crystal system = orthorhombic
- distance to the lowest polymorph of the same formula (kcal/mol of atoms) = 0.00
- total DFT energy (no corrections) (eV/atom) = -2.57
- space group = Cmcm
- E_form (eV per atom) = -0.083

Record 6
Computed, not measured: Ca3TiRe after structural relaxation at the PBE level of DFT.

a b c (Å): 5.4717 5.4717 5.4717
angles (deg): 90.00 90.00 90.00
Element x y z (fractional)
Ca1 0.0000 0.0000 0.5000
Ca2 0.0000 0.5000 0.0000
Ca3 0.5000 0.0000 0.0000
Ti1 0.5000 0.5000 0.5000
Re1 0.0000 0.0000 0.0000

Output
- total magnetization (Bohr magnetons per cell) = 0.128
- crystal system = cubic
- distance to the lowest polymorph of the same formula (kcal/mol of atoms) = 0.00
- total DFT energy (no corrections) (eV/atom) = -4.00
- space group = Pm-3m
- E_form (eV per atom) = 1.267

Record 7
Computed, not measured: PmCu5Rh2 after structural relaxation at the PBE level of DFT.

a b c (Å): 6.1304 6.1304 6.1304
angles (deg): 143.53 107.61 83.88
Element x y z (fractional)
Pm1 0.0000 0.0000 0.0000
Cu1 0.1860 0.3593 0.8267
Cu2 0.4674 0.6407 0.8267
Cu3 0.5000 0.0000 0.5000
Cu4 0.5326 0.3593 0.1733
Cu5 0.8140 0.6407 0.1733
Rh1 0.2269 0.7269 0.5000
Rh2 0.7731 0.2731 0.5000

Output
- total magnetization (Bohr magnetons per cell) = 0.000
- crystal system = orthorhombic
- total DFT energy (no corrections) (eV/atom) = -5.04
- space group = Immm
- E_form (eV per atom) = -0.050

Record 8
Computed, not measured: LiYN3 after structural relaxation at the PBE level of DFT.

a b c (Å): 4.5290 4.5290 4.5290
angles (deg): 90.00 90.00 90.00
Element x y z (fractional)
Li1 0.0000 0.0000 0.0000
Y1 0.5000 0.5000 0.5000
N1 0.0000 0.5000 0.5000
N2 0.5000 0.0000 0.5000
N3 0.5000 0.5000 0.0000

Output
- total magnetization (Bohr magnetons per cell) = 5.000
- crystal system = cubic
- total DFT energy (no corrections) (eV/atom) = -5.62
- space group = Pm-3m
- formation energy without anion corrections (eV per atom) = 1.053

Record 9
Computed, not measured: TbMg2Tl2Ag2 after structural relaxation at the PBE level of DFT.

a b c (Å): 8.5011 8.5011 8.5011
angles (deg): 33.39 33.39 33.39
Element x y z (fractional)
Tb1 0.0000 0.0000 0.0000
Mg1 0.1339 0.1339 0.1339
Mg2 0.8661 0.8661 0.8661
Tl1 0.3961 0.3961 0.3961
Tl2 0.6039 0.6039 0.6039
Ag1 0.2507 0.2507 0.2507
Ag2 0.7493 0.7493 0.7493

Output
- total magnetization (Bohr magnetons per cell) = 0.000
- crystal system = trigonal
- total DFT energy (no corrections) (eV/atom) = -2.75
- space group = R-3m
- E_form (eV per atom) = -0.145

Record 10
Computed, not measured: Ag2OsPb after structural relaxation at the PBE level of DFT.

a b c (Å): 5.0636 5.0636 5.3903
angles (deg): 98.55 98.55 33.80
Element x y z (fractional)
Ag1 0.0000 0.0000 0.0000
Ag2 0.7493 0.7493 0.2027
Os1 0.2655 0.2655 0.7306
Pb1 0.5167 0.5167 0.5142

Output
- total magnetization (Bohr magnetons per cell) = 0.464
- crystal system = monoclinic
- total DFT energy (no corrections) (eV/atom) = -4.45
- space group = Cm
- E_form (eV per atom) = 0.712

Record 11
Computed, not measured: LiSc2PtC after structural relaxation at the PBE level of DFT.

a b c (Å): 4.4662 4.4662 3.9825
angles (deg): 90.00 90.00 90.00
Element x y z (fractional)
Li1 0.0000 0.0000 0.0000
Sc1 0.0000 0.5000 0.5000
Sc2 0.5000 0.0000 0.5000
Pt1 0.5000 0.5000 0.0000
C1 0.0000 0.0000 0.5000

Output
- total magnetization (Bohr magnetons per cell) = 0.000
- crystal system = tetragonal
- total DFT energy (no corrections) (eV/atom) = -6.47
- space group = P4/mmm
- E_form (eV per atom) = -0.501

Record 12
Computed, not measured: CeH5Os after structural relaxation at the PBE level of DFT.

a b c (Å): 5.5719 5.5719 6.2514
angles (deg): 123.45 123.45 69.57
Element x y z (fractional)
Ce1 0.2184 0.7816 0.7500
Ce2 0.7816 0.2184 0.2500
H1 0.0054 0.5013 0.2726
H2 0.1658 0.8342 0.2500
H3 0.2683 0.2963 0.5305
H4 0.2963 0.2683 0.0305
H5 0.4987 0.9946 0.2274
H6 0.5013 0.0054 0.7726
H7 0.7037 0.7317 0.9695
H8 0.7317 0.7037 0.4695
H9 0.8342 0.1658 0.7500
H10 0.9946 0.4987 0.7274
Os1 0.0000 0.5000 0.0000
Os2 0.5000 0.0000 0.5000

Output
- total magnetization (Bohr magnetons per cell) = 1.937
- crystal system = monoclinic
- total DFT energy (no corrections) (eV/atom) = -5.03
- space group = C2/c

no.,ρ (Mg/m³)
1,5.994
2,3.188
3,14.262
4,2.937
5,3.280
6,3.591
7,8.763
8,2.464
9,8.340
10,13.406
11,6.353
12,8.261